No. 1
## Pm12GaGe7 (PBE-GGA)

Data for Pm12GaGe7 after structural relaxation.

Properties
DOS at the Fermi energy: 16.1 states/eV per cell
energy: -101.5 eV/cell
E_form: -9.15 eV per formula unit

a = 9.0963 Å, b = 9.0963 Å, c = 9.0963 Å
α = 109.58°, β = 109.58°, γ = 109.58°
Positions (direct):
Pm (0.6903, 0.6092, 0.9067)
Pm (0.2878, 0.1463, 0.6662)
Pm (0.6662, 0.2878, 0.1463)
Pm (0.3097, 0.3908, 0.0933)
Pm (0.0933, 0.3097, 0.3908)
Pm (0.7122, 0.8537, 0.3338)
Pm (0.3908, 0.0933, 0.3097)
Pm (0.1463, 0.6662, 0.2878)
Pm (0.3338, 0.7122, 0.8537)
Pm (0.8537, 0.3338, 0.7122)
Pm (0.9067, 0.6903, 0.6092)
Pm (0.6092, 0.9067, 0.6903)
Ge (0.5000, 0.5000, 0.5000)
Ge (0.7199, 0.9754, 0.0695)
Ge (0.0246, 0.9305, 0.2801)
Ge (0.0695, 0.7199, 0.9754)
Ge (0.2801, 0.0246, 0.9305)
Ge (0.9305, 0.2801, 0.0246)
Ge (0.9754, 0.0695, 0.7199)
Ga (0.0000, 0.0000, 0.0000)

***

No. 2
## Nd2Cu15Rh2 (PBE-GGA)

Data for Nd2Cu15Rh2 after structural relaxation.

Properties
DOS at the Fermi energy: 10.3 states/eV per cell
energy: -88.3 eV/cell
E_form: -2.63 eV per formula unit

a = 6.5280 Å, b = 6.5280 Å, c = 6.5280 Å
α = 83.44°, β = 83.44°, γ = 83.44°
Positions (direct):
Nd (0.6653, 0.6653, 0.6653)
Nd (0.3347, 0.3347, 0.3347)
Cu (0.3492, 0.8473, 0.3492)
Cu (0.6508, 0.6508, 0.1527)
Cu (0.7100, 0.0000, 0.2900)
Cu (0.1527, 0.6508, 0.6508)
Cu (0.5000, 0.0000, 0.0000)
Cu (0.0000, 0.0000, 0.5000)
Cu (0.7100, 0.2900, 0.0000)
Cu (0.0000, 0.5000, 0.0000)
Cu (0.2900, 0.7100, 0.0000)
Cu (0.0000, 0.7100, 0.2900)
Cu (0.2900, 0.0000, 0.7100)
Cu (0.8473, 0.3492, 0.3492)
Cu (0.3492, 0.3492, 0.8473)
Cu (0.0000, 0.2900, 0.7100)
Cu (0.6508, 0.1527, 0.6508)
Rh (0.1045, 0.1045, 0.1045)
Rh (0.8955, 0.8955, 0.8955)

***

No. 3
## ReAsSe2I (PBE-GGA)

Data for ReAsSe2I after structural relaxation.

Properties
formation energy (no corrections): 0.44 eV per atom
energy above the lowest structure with this stoichiometry: 0.0 kJ/mol of atoms
DOS at the Fermi energy: 4.6 states/eV per cell
energy: -23.4 eV/cell

a = 4.8391 Å, b = 4.8391 Å, c = 5.1383 Å
α = 90.00°, β = 90.00°, γ = 90.00°
Positions (direct):
As (0.0000, 0.0000, 0.5000)
I (0.5000, 0.5000, 0.5000)
Se (0.5000, 0.0000, 0.0000)
Se (0.0000, 0.5000, 0.0000)
Re (0.0000, 0.0000, 0.0000)

***

No. 4
## Mg2Cu3Rh (PBE-GGA)

Data for Mg2Cu3Rh after structural relaxation.

Properties
DOS at the Fermi energy: 2.1 states/eV per cell
energy: -24.3 eV/cell
E_form: -1.43 eV per formula unit

a = 4.8688 Å, b = 4.8688 Å, c = 5.1808 Å
α = 90.30°, β = 117.81°, γ = 119.87°
Positions (direct):
Cu (0.5000, 0.5000, 0.5000)
Cu (0.5000, 0.0000, 0.5000)
Cu (0.0000, 0.0000, 0.5000)
Mg (0.7472, 0.3734, 0.1206)
Mg (0.2528, 0.6266, 0.8794)
Rh (0.0000, 0.0000, 0.0000)

***

No. 5
## AgSe3 (PBE-GGA)

Data for AgSe3 after structural relaxation.

Properties
formation energy (no corrections): 0.26 eV per atom
DOS at the Fermi energy: 2.4 states/eV per cell
energy: -12.3 eV/cell

a = 2.7417 Å, b = 7.8609 Å, c = 5.2126 Å
α = 90.00°, β = 90.00°, γ = 90.00°
Positions (direct):
Ag (0.0000, 0.0000, 0.0000)
Se (0.5000, 0.5000, 0.7725)
Se (0.5000, 0.5000, 0.2275)
Se (0.0000, 0.0000, 0.5000)

***

No. 6
## PIrAu (PBE-GGA)

Data for PIrAu after structural relaxation.

Properties
energy above the lowest structure with this stoichiometry: 21.0 kJ/mol of atoms
DOS at the Fermi energy: 2.7 states/eV per cell
energy: -17.4 eV/cell
E_form: 0.19 eV per formula unit

a = 2.9767 Å, b = 2.9767 Å, c = 6.5717 Å
α = 90.00°, β = 90.00°, γ = 120.00°
Positions (direct):
Ir (0.6667, 0.3333, 0.3749)
Au (0.0000, 0.0000, 0.0126)
P (0.3333, 0.6667, 0.6125)

***

No. 7
## BaMgGaAg6 (PBE-GGA)

Data for BaMgGaAg6 after structural relaxation.

Properties
DOS at the Fermi energy: 5.2 states/eV per cell
energy: -46.7 eV/cell
E_form: 0.28 eV per formula unit

a = 7.3569 Å, b = 10.0285 Å, c = 8.3761 Å
α = 126.77°, β = 116.05°, γ = 90.00°
Positions (direct):
Ag (0.6813, 0.8868, 0.7487)
Ag (0.0674, 0.3618, 0.7487)
Ag (0.5702, 0.8202, 0.1404)
Ag (0.4298, 0.1798, 0.8596)
Ag (0.6813, 0.3618, 0.7487)
Ag (0.0674, 0.8868, 0.7487)
Ag (0.9326, 0.6382, 0.2513)
Ag (0.9665, 0.2165, 0.9330)
Ag (0.3187, 0.6382, 0.2513)
Ag (0.0335, 0.7835, 0.0670)
Ag (0.3187, 0.1132, 0.2513)
Ag (0.9326, 0.1132, 0.2513)
Ba (0.7197, 0.4697, 0.4394)
Ba (0.2803, 0.5303, 0.5606)
Ga (0.5000, 0.0000, 0.0000)
Ga (0.5000, 0.5000, 0.0000)
Mg (0.0000, 0.0000, 0.5000)
Mg (0.5000, 0.0000, 0.5000)

***

No. 8
## MoWSe2 (PBE-GGA)

Data for MoWSe2 after structural relaxation.

Properties
formation energy (no corrections): 0.36 eV per atom
energy above the lowest structure with this stoichiometry: 50.1 kJ/mol of atoms
DOS at the Fermi energy: 3.9 states/eV per cell
energy: -29.3 eV/cell

a = 5.5570 Å, b = 5.5570 Å, c = 5.5570 Å
α = 147.26°, β = 133.60°, γ = 57.94°
Positions (direct):
Mo (0.7604, 0.2604, 0.5000)
Se (0.2685, 0.7685, 0.5000)
Se (0.9846, 0.9846, 0.0000)
W (0.4866, 0.4866, 0.0000)

***

No. 9
## Ta2As3 (PBE-GGA)

Data for Ta2As3 after structural relaxation.

Properties
energy above the lowest structure with this stoichiometry: 1.6 kJ/mol of atoms
DOS at the Fermi energy: 3.4 states/eV per cell
energy: -76.5 eV/cell
E_form: -0.61 eV per formula unit

a = 8.4791 Å, b = 6.7744 Å, c = 6.2755 Å
α = 80.95°, β = 52.09°, γ = 46.96°
Positions (direct):
As (0.2315, 0.1788, 0.0171)
As (0.0712, 0.0185, 0.6774)
As (0.5726, 0.0171, 0.1788)
As (0.9242, 0.5758, 0.5758)
As (0.2329, 0.6774, 0.0185)
As (0.6742, 0.3258, 0.3258)
Ta (0.1770, 0.4945, 0.7337)
Ta (0.5948, 0.7337, 0.4945)
Ta (0.7555, 0.0730, 0.6552)
Ta (0.5163, 0.6552, 0.0730)

***

No. 10
## Ba3Ag2Te4 (PBE-GGA)

Data for Ba3Ag2Te4 after structural relaxation.

Properties
formation energy (no corrections): -1.20 eV per atom
energy: -34.8 eV/cell

a = 4.7010 Å, b = 8.3790 Å, c = 9.1691 Å
α = 71.25°, β = 75.15°, γ = 73.71°
Positions (direct):
Ag (0.3093, 0.9979, 0.3835)
Ag (0.6907, 0.0021, 0.6165)
Te (0.0862, 0.2319, 0.5957)
Te (0.9138, 0.7681, 0.4043)
Te (0.3214, 0.2655, 0.0916)
Te (0.6786, 0.7345, 0.9084)
Ba (0.3626, 0.5570, 0.7178)
Ba (0.0000, 0.0000, 0.0000)
Ba (0.6374, 0.4430, 0.2822)

***

No. 11
## MgIn2Os (PBE-GGA)

Data for MgIn2Os after structural relaxation.

Properties
DOS at the Fermi energy: 3.7 states/eV per cell
energy: -16.8 eV/cell
E_form: 1.47 eV per formula unit

a = 4.8994 Å, b = 4.8994 Å, c = 3.2672 Å
α = 90.00°, β = 90.00°, γ = 106.15°
Positions (direct):
Os (0.0000, 0.5000, 0.5000)
In (0.0000, 0.0000, 0.0000)
In (0.5000, 0.5000, 0.0000)
Mg (0.5000, 0.0000, 0.5000)

***

No. 12
## MgCrPd (PBE-GGA)

Data for MgCrPd after structural relaxation.

Properties
DOS at the Fermi energy: 3.6 states/eV per cell
energy: -33.3 eV/cell
E_form: -0.26 eV per formula unit

a = 2.8798 Å, b = 7.7140 Å, c = 4.9039 Å
α = 99.74°, β = 72.97°, γ = 68.13°
Positions (direct):
Mg (0.7449, 0.2827, 0.5669)
Mg (0.2863, 0.0568, 0.9341)
Pd (0.7240, 0.9220, 0.3316)
Pd (0.3074, 0.4175, 0.1694)
Cr (0.3268, 0.6874, 0.5922)
Cr (0.7046, 0.6520, 0.9088)

***

No. 13
## BaZr2Cl (PBE-GGA)

Data for BaZr2Cl after structural relaxation.

Properties
formation energy (no corrections): 0.18 eV per atom
energy above the lowest structure with this stoichiometry: 47.4 kJ/mol of atoms
DOS at the Fermi energy: 4.0 states/eV per cell
energy: -20.1 eV/cell

a = 3.2457 Å, b = 3.2457 Å, c = 9.8301 Å
α = 90.00°, β = 90.00°, γ = 90.00°
Positions (direct):
Zr (0.0000, 0.0000, 0.9261)
Zr (0.0000, 0.0000, 0.5739)
Cl (0.5000, 0.5000, 0.7500)
Ba (0.5000, 0.5000, 0.2500)

***

No. 14
## CsMg14Zn (PBE-GGA)

Data for CsMg14Zn after structural relaxation.

Properties
energy above the lowest structure with this stoichiometry: 1.3 kJ/mol of atoms
DOS at the Fermi energy: 8.2 states/eV per cell
energy: -21.7 eV/cell
E_form: 2.77 eV per formula unit

a = 6.5152 Å, b = 6.5152 Å, c = 10.8460 Å
α = 90.00°, β = 90.00°, γ = 120.00°
Positions (direct):
Mg (0.6667, 0.3333, 0.2593)
Mg (0.4954, 0.9907, 0.5000)
Mg (0.4954, 0.5046, 0.5000)
Mg (0.5048, 0.4952, 0.0000)
Mg (0.1687, 0.3375, 0.2267)
Mg (0.0093, 0.5046, 0.5000)
Mg (0.1687, 0.8313, 0.2267)
Mg (0.1687, 0.3375, 0.7733)
Mg (0.6625, 0.8313, 0.2267)
Mg (0.1687, 0.8313, 0.7733)
Mg (0.6625, 0.8313, 0.7733)
Mg (0.5048, 0.0096, 0.0000)
Mg (0.9904, 0.4952, 0.0000)
Mg (0.6667, 0.3333, 0.7407)
Zn (0.0000, 0.0000, 0.0000)
Cs (0.0000, 0.0000, 0.5000)

***

No. 15
## SiHO2 (PBE-GGA)

Data for SiHO2 after structural relaxation.

Properties
energy above the lowest structure with this stoichiometry: 0.0 kJ/mol of atoms
DOS at the Fermi energy: 0.0 states/eV per cell
energy: -49.5 eV/cell

a = 5.2537 Å, b = 5.2537 Å, c = 5.2611 Å
α = 60.05°, β = 60.05°, γ = 90.00°
Each line ends with the local moment (μB).
Positions (direct):
H (0.5000, 0.5000, 0.0000)  0.38
H (0.2500, 0.7500, 0.5000)  0.38
Si (0.0000, 0.0000, 0.0000)  0.00
Si (0.7500, 0.2500, 0.5000)  0.00
O (0.8750, 0.0913, 0.7500)  0.02
O (0.3750, 0.1587, 0.7500)  0.02
O (0.9087, 0.6250, 0.2500)  0.03
O (0.8413, 0.1250, 0.2500)  0.02

***

No. 16
## NbHgO3 (PBE-GGA)

Data for NbHgO3 after structural relaxation.

Properties
formation energy (no corrections): 0.46 eV per atom
DOS at the Fermi energy: 4.6 states/eV per cell
energy: -22.9 eV/cell

a = 4.1422 Å, b = 4.1422 Å, c = 4.1422 Å
α = 90.00°, β = 90.00°, γ = 90.00°
Each line ends with the local moment (μB).
Positions (direct):
Nb (0.5000, 0.5000, 0.5000)  2.18
O (0.5000, 0.0000, 0.0000)  -0.08
O (0.0000, 0.0000, 0.5000)  -0.07
O (0.0000, 0.5000, 0.0000)  -0.11
Hg (0.0000, 0.0000, 0.0000)  -0.01

***

No. 17
## CaPtW (PBE-GGA)

Data for CaPtW after structural relaxation.

Properties
DOS at the Fermi energy: 4.7 states/eV per cell
energy: -42.6 eV/cell
E_form: -0.30 eV per formula unit

a = 8.1352 Å, b = 2.9003 Å, c = 5.3481 Å
α = 102.62°, β = 109.31°, γ = 85.88°
Positions (direct):
W (0.3722, 0.7634, 0.6579)
W (0.3715, 0.2155, 0.2237)
Ca (0.9992, 0.9891, 0.2545)
Ca (0.7445, 0.9895, 0.6271)
Pt (0.6246, 0.4887, 0.0676)
Pt (0.1191, 0.4900, 0.8140)

***

No. 18
## TmBeV (PBE-GGA)

Data for TmBeV after structural relaxation.

Properties
DOS at the Fermi energy: 10.7 states/eV per cell
energy: -64.0 eV/cell
E_form: 1.32 eV per formula unit

a = 3.9016 Å, b = 6.8043 Å, c = 8.7985 Å
α = 86.36°, β = 77.19°, γ = 73.34°
Positions (direct):
V (0.2065, 0.0000, 0.5870)
V (0.9294, 0.1413, 0.0000)
V (0.7935, 0.0000, 0.4130)
V (0.0706, 0.8587, 0.0000)
Tm (0.5202, 0.7288, 0.2307)
Tm (0.2491, 0.2712, 0.2307)
Tm (0.7509, 0.7288, 0.7693)
Tm (0.4798, 0.2712, 0.7693)
Be (0.5954, 0.3636, 0.4456)
Be (0.9590, 0.6364, 0.4456)
Be (0.4046, 0.6364, 0.5544)
Be (0.0410, 0.3636, 0.5544)

***

No. 19
## Ac2MnGe5 (PBE-GGA)

Data for Ac2MnGe5 after structural relaxation.

Properties
DOS at the Fermi energy: 3.6 states/eV per cell
energy: -43.5 eV/cell
E_form: -2.99 eV per formula unit

a = 6.5741 Å, b = 6.5741 Å, c = 6.5741 Å
α = 85.58°, β = 122.58°, γ = 122.58°
Each line ends with the local moment (μB).
Positions (direct):
Ge (0.0000, 0.2721, 0.7040)  -0.02
Ge (0.0000, 0.2834, 0.2834)  -0.04
Ge (0.4319, 0.7040, 0.7040)  -0.02
Ge (0.0000, 0.7040, 0.2721)  -0.02
Ge (0.5681, 0.2721, 0.2721)  -0.02
Ac (0.5000, 0.2337, 0.7337)  -0.01
Ac (0.5000, 0.7337, 0.2337)  -0.01
Mn (0.0000, 0.0191, 0.0191)  3.10

***

No. 20
## Tm2Al3Re (PBE-GGA)

Data for Tm2Al3Re after structural relaxation.

Properties
DOS at the Fermi energy: 3.9 states/eV per cell
energy: -35.3 eV/cell
E_form: -2.64 eV per formula unit

a = 5.4698 Å, b = 5.4698 Å, c = 5.4111 Å
α = 90.00°, β = 120.36°, γ = 120.00°
Positions (direct):
Al (0.5000, 0.0000, 0.5000)
Al (0.0000, 0.0000, 0.5000)
Al (0.5000, 0.5000, 0.5000)
Tm (0.7429, 0.3715, 0.1144)
Tm (0.2571, 0.6285, 0.8856)
Re (0.0000, 0.0000, 0.0000)

***

No. 21
## Nd2ScBi (PBE-GGA)

Data for Nd2ScBi after structural relaxation.

Properties
energy above the lowest structure with this stoichiometry: 1.9 kJ/mol of atoms
DOS at the Fermi energy: 4.5 states/eV per cell
energy: -21.2 eV/cell
E_form: -1.46 eV per formula unit

a = 4.9010 Å, b = 4.8576 Å, c = 4.8576 Å
α = 90.00°, β = 90.00°, γ = 90.00°
Positions (direct):
Sc (0.5000, 0.5000, 0.5000)
Nd (0.0000, 0.0000, 0.5000)
Nd (0.0000, 0.5000, 0.0000)
Bi (0.5000, 0.0000, 0.0000)

***

No. 22
## Rb2BaRhI6 (PBE-GGA)

Data for Rb2BaRhI6 after structural relaxation.

Properties
formation energy (no corrections): -1.03 eV per atom
DOS at the Fermi energy: 4.1 states/eV per cell
energy: -30.8 eV/cell

a = 8.6791 Å, b = 8.6791 Å, c = 8.6508 Å
α = 59.89°, β = 59.89°, γ = 90.00°
Each line ends with the local moment (μB).
Positions (direct):
I (0.2732, 0.2732, 0.0000)  0.03
I (0.2732, 0.7268, 0.0000)  0.03
I (0.7255, 0.7255, 0.5491)  0.02
I (0.7268, 0.2732, 0.0000)  0.03
I (0.2745, 0.2745, 0.4509)  0.02
I (0.7268, 0.7268, 0.0000)  0.03
Rh (0.5000, 0.5000, 0.0000)  0.65
Ba (0.0000, 0.0000, 0.0000)  0.05
Rb (0.7500, 0.2500, 0.5000)  0.00
Rb (0.2500, 0.7500, 0.5000)  0.00

***

No. 23
## Mg3AlO (PBE-GGA)

Data for Mg3AlO after structural relaxation.

Properties
formation energy (no corrections): 0.52 eV per atom
energy above the lowest structure with this stoichiometry: 134.2 kJ/mol of atoms
DOS at the Fermi energy: 5.9 states/eV per cell
energy: -10.9 eV/cell

a = 5.1125 Å, b = 5.1125 Å, c = 5.1125 Å
α = 90.00°, β = 90.00°, γ = 90.00°
Each line ends with the local moment (μB).
Positions (direct):
O (0.5000, 0.5000, 0.5000)  0.72
Mg (0.0000, 0.5000, 0.0000)  0.01
Mg (0.5000, 0.0000, 0.0000)  0.00
Mg (0.0000, 0.0000, 0.5000)  0.01
Al (0.0000, 0.0000, 0.0000)  0.04

***

No. 24
## NpCuH8Rh2 (PBE-GGA)

Data for NpCuH8Rh2 after structural relaxation.

Properties
DOS at the Fermi energy: 10.1 states/eV per cell
energy: -58.9 eV/cell

a = 4.6730 Å, b = 4.6730 Å, c = 6.0735 Å
α = 67.37°, β = 67.37°, γ = 60.00°
Each line ends with the local moment (μB).
Positions (direct):
H (0.3215, 0.9004, 0.1469)  0.00
H (0.6785, 0.0996, 0.8531)  0.00
H (0.6312, 0.3215, 0.1469)  0.00
H (0.3688, 0.6785, 0.8531)  0.00
H (0.0996, 0.3688, 0.8531)  0.00
H (0.1887, 0.1887, 0.4340)  -0.01
H (0.9004, 0.6312, 0.1469)  0.00
H (0.8113, 0.8113, 0.5660)  -0.01
Cu (0.0000, 0.0000, 0.0000)  -0.01
Rh (0.2927, 0.2927, 0.1218)  0.03
Rh (0.7073, 0.7073, 0.8782)  0.03
Np (0.5000, 0.5000, 0.5000)  3.94